1.
An optimized crystal structure of HPd2RhSe. Source: the Alexandria database, functional PBE.

For the raw total energy, the calculation gives -4.826 eV/atom.

a = 4.039 Å, b = 4.039 Å, c = 4.037 Å
α = 90.00°, β = 90.00°, γ = 90.00°
Space group P4/mmm (No. 123)
Asymmetric unit:
1 H 0.000 0.000 0.000 x1
2 Pd 0.000 0.500 0.000 x2
3 Rh 0.000 0.000 0.500 x1
4 Se 0.500 0.500 0.500 x1

2.
An optimized crystal structure of CuSbCl6. Source: the Alexandria database, functional PBE.

As for the formation energy (no corrections): -576 meV/atom.

a = 6.407 Å, b = 6.446 Å, c = 6.730 Å
α = 90.73°, β = 117.86°, γ = 119.64°
Space group P-1 (No. 2)
Asymmetric unit:
1 Cu 0.000 0.000 0.000 x1
2 Sb 0.000 0.500 0.500 x1
3 Cl 0.128 0.746 0.249 x2
4 Cl 0.132 0.883 0.754 x2
5 Cl 0.498 0.620 0.751 x2

Number 1: Fermi-level density of states 6.420 states/eV per cell, mass density 9.98 Mg/m³. Number 2: Fermi-level density of states 3.943 states/eV per cell, mass density 3.26 Mg/m³.